Entry from the Alexandria database: a relaxed LaHfMo3 crystal (PBE-GGA).

Cell lengths 4.925, 4.925, 4.925 Å; angles 90.00, 90.00, 90.00 degrees
Positions (direct):
Mo 0.000 0.500 0.000
Mo 0.000 0.000 0.500
Mo 0.500 0.000 0.000
Hf 0.000 0.000 0.000
La 0.500 0.500 0.500

***

Entry from the Alexandria database: a relaxed LaHfMo2 crystal (PBE-GGA).

Values from the calculation:
**Polymorph energy (0 for the lowest one)**: 0.495 eV/atom

Cell lengths 7.670, 7.670, 6.169 Å; angles 51.57, 51.57, 90.00 degrees
Positions (direct):
Mo 0.640 0.125 0.250
Mo 0.110 0.625 0.250
Mo 0.375 0.360 0.750
Mo 0.875 0.890 0.750
Hf 0.000 0.000 0.000
Hf 0.750 0.250 0.500
La 0.500 0.500 0.000
La 0.250 0.750 0.500

***

| no. | energy relative to the elements (kJ/mol of formula units) |
| --- | --- |
| 1 | 676.3 |
| 2 | 353.3 |